## PuUTlI6 (PBE)

Data for a relaxed structure of PuUTlI6.

abc: 8.005 8.005 15.581
angles: 90.00 90.00 120.00
Positions (direct):
I1 0.996 0.360 0.131
I2 0.996 0.636 0.369
I3 0.636 0.640 0.631
I4 0.640 0.636 0.131
I5 0.360 0.996 0.631
I6 0.364 0.004 0.131
I7 0.364 0.360 0.369
I8 0.636 0.996 0.869
I9 0.004 0.364 0.631
I10 0.004 0.640 0.869
I11 0.640 0.004 0.369
I12 0.360 0.364 0.869
Pu1 0.667 0.333 0.750
Pu2 0.333 0.667 0.250
Tl1 0.000 0.000 0.500
Tl2 0.000 0.000 0.000
U1 0.667 0.333 0.250
U2 0.333 0.667 0.750

Results
The calculation puts the total magnetization at 1.000 μB per atom. The mass density is 5.56 Mg/m³. The total energy is -4.996 eV/atom. The space group is P-31c.

=====

## TmPuI (PBE)

Data for a relaxed structure of TmPuI.

abc: 3.888 3.888 14.428
angles: 110.81 110.81 64.70
Positions (direct):
Tm1 0.689 0.689 0.189
Tm2 0.311 0.311 0.811
Pu1 0.186 0.186 0.012
Pu2 0.814 0.814 0.988
I1 0.180 0.180 0.348
I2 0.820 0.820 0.652

Results
The calculation puts the total magnetization at 0.000 μB per atom. The mass density is 10.02 Mg/m³. The total energy is -7.239 eV/atom. The space group is C2/m.

=====

## Tm2PuI (PBE)

Data for a relaxed structure of Tm2PuI.

abc: 3.651 3.651 10.501
angles: 79.99 79.99 60.00
Positions (direct):
Tm1 0.753 0.753 0.741
Tm2 0.247 0.247 0.259
I1 0.500 0.500 0.500
Pu1 0.000 0.000 0.000

Results
The calculation puts the total magnetization at 1.521 μB per atom. The mass density is 9.91 Mg/m³. The total energy is -6.443 eV/atom. The space group is R-3m.

=====

## TmPuI5 (PBE)

Data for a relaxed structure of TmPuI5.

abc: 4.240 9.293 15.000
angles: 94.86 90.00 90.00
Positions (direct):
I1 0.750 0.646 0.864
I2 0.250 0.354 0.136
I3 0.750 0.623 0.299
I4 0.250 0.847 0.070
I5 0.250 0.679 0.524
I6 0.750 0.153 0.930
I7 0.250 0.377 0.701
I8 0.250 0.074 0.304
I9 0.750 0.926 0.696
I10 0.750 0.321 0.476
Tm1 0.750 0.593 0.658
Tm2 0.250 0.407 0.342
Pu1 0.250 0.909 0.861
Pu2 0.750 0.091 0.139

Results
The calculation puts the total magnetization at 0.858 μB per atom. The mass density is 5.91 Mg/m³. The total energy is -4.990 eV/atom. The space group is P2_1/m.

=====

## Pu2UI8 (PBE)

Data for a relaxed structure of Pu2UI8.

abc: 6.419 9.860 9.860
angles: 120.00 90.00 90.00
Positions (direct):
I1 0.757 0.153 0.847
I2 0.757 0.153 0.306
I3 0.243 0.306 0.153
I4 0.243 0.847 0.153
I5 0.773 0.667 0.333
I6 0.757 0.694 0.847
I7 0.243 0.847 0.694
I8 0.227 0.333 0.667
Pu1 0.282 0.667 0.333
Pu2 0.718 0.333 0.667
U1 0.500 0.000 0.000

Results
The calculation puts the total magnetization at 1.273 μB per atom. The mass density is 5.35 Mg/m³. The total energy is -5.603 eV/atom. The space group is P-3m1.

=====

## PuUI5 (PBE)

Data for a relaxed structure of PuUI5.

abc: 4.247 9.294 14.987
angles: 95.06 90.00 90.00
Positions (direct):
I1 0.750 0.145 0.929
I2 0.750 0.318 0.486
I3 0.750 0.640 0.289
I4 0.250 0.076 0.305
I5 0.750 0.645 0.870
I6 0.750 0.924 0.695
I7 0.250 0.355 0.130
I8 0.250 0.682 0.514
I9 0.250 0.855 0.071
I10 0.250 0.360 0.711
Pu1 0.250 0.901 0.858
Pu2 0.750 0.099 0.142
U1 0.250 0.420 0.345
U2 0.750 0.580 0.655

Results
The calculation puts the total magnetization at 1.286 μB per atom. The mass density is 6.29 Mg/m³. The total energy is -5.687 eV/atom. The space group is P2_1/m.

=====

## YPu2I6 (PBE)

Data for a relaxed structure of YPu2I6.

abc: 4.264 8.912 10.854
angles: 110.74 90.00 103.84
Positions (direct):
Y1 0.000 0.000 0.500
Pu1 0.330 0.660 0.161
Pu2 0.670 0.340 0.839
I1 0.635 0.271 0.528
I2 0.309 0.618 0.860
I3 0.365 0.729 0.472
I4 0.691 0.382 0.140
I5 0.974 0.948 0.204
I6 0.026 0.052 0.796

Results
The calculation puts the total magnetization at 1.428 μB per atom. The mass density is 5.96 Mg/m³. The total energy is -6.058 eV/atom. The space group is C2/m.

=====

## YPu3I8 (PBE)

Data for a relaxed structure of YPu3I8.

abc: 8.594 8.764 9.309
angles: 118.65 90.00 119.36
Positions (direct):
I1 0.243 0.999 0.246
I2 0.251 0.502 0.750
I3 0.242 0.485 0.244
I4 0.244 0.001 0.754
I5 0.756 0.999 0.246
I6 0.757 0.001 0.754
I7 0.749 0.498 0.250
I8 0.758 0.515 0.756
Pu1 0.500 0.000 0.000
Pu2 0.000 0.500 0.000
Pu3 0.500 0.500 0.000
Y1 0.000 0.000 0.000

Results
The calculation puts the total magnetization at 0.545 μB per atom. The mass density is 5.97 Mg/m³. The total energy is -6.229 eV/atom. The space group is C2/m.

=====

## YPuI5 (PBE)

Data for a relaxed structure of YPuI5.

abc: 4.276 9.318 14.951
angles: 94.90 90.00 90.00
Positions (direct):
I1 0.250 0.678 0.520
I2 0.250 0.353 0.134
I3 0.750 0.923 0.695
I4 0.250 0.851 0.071
I5 0.750 0.628 0.295
I6 0.750 0.647 0.866
I7 0.250 0.372 0.705
I8 0.750 0.322 0.480
I9 0.750 0.149 0.929
I10 0.250 0.077 0.305
Pu1 0.750 0.093 0.140
Pu2 0.250 0.907 0.860
Y1 0.750 0.587 0.656
Y2 0.250 0.413 0.344

Results
The calculation puts the total magnetization at 0.858 μB per atom. The mass density is 5.41 Mg/m³. The total energy is -5.308 eV/atom. The space group is P2_1/m.

=====

## YPuI (PBE)

Data for a relaxed structure of YPuI.

abc: 3.931 4.320 11.228
angles: 78.91 90.00 90.00
Positions (direct):
Pu1 0.250 0.526 0.947
Pu2 0.750 0.474 0.053
Y1 0.750 0.089 0.821
Y2 0.250 0.911 0.179
I1 0.750 0.331 0.339
I2 0.250 0.669 0.661

Results
The calculation puts the total magnetization at 0.314 μB per atom. The mass density is 8.16 Mg/m³. The total energy is -7.692 eV/atom. The space group is Cmcm.

=====

## PuZnI6 (PBE)

Data for a relaxed structure of PuZnI6.

abc: 7.408 7.408 8.001
angles: 62.41 62.42 60.00
Positions (direct):
Pu1 0.500 0.500 0.500
I1 0.395 0.755 0.758
I2 0.245 0.909 0.242
I3 0.755 0.091 0.758
I4 0.605 0.245 0.242
I5 0.091 0.395 0.758
I6 0.909 0.605 0.242
Zn1 0.000 0.000 0.000

Results
The calculation puts the total magnetization at 0.500 μB per atom. The mass density is 5.53 Mg/m³. The total energy is -3.747 eV/atom. The space group is R-3.

=====

## PuZn3I9 (PBE)

Data for a relaxed structure of PuZn3I9.

abc: 10.273 11.410 12.442
angles: 75.35 65.62 63.24
Positions (direct):
I1 0.036 0.586 0.211
I2 0.712 0.750 0.062
I3 0.379 0.312 0.926
I4 0.312 0.199 0.331
I5 0.158 0.699 0.831
I6 0.167 0.086 0.711
I7 0.383 0.812 0.426
I8 0.580 0.777 0.697
I9 0.083 0.567 0.536
I10 0.789 0.998 0.731
I11 0.756 0.395 0.581
I12 0.482 0.498 0.231
I13 0.837 0.931 0.378
I14 0.946 0.277 0.197
I15 0.813 0.067 0.036
I16 0.267 0.895 0.081
I17 0.477 0.250 0.562
I18 0.854 0.431 0.878
Zn1 0.224 0.455 0.334
Zn2 0.968 0.043 0.171
Zn3 0.818 0.543 0.671
Zn4 0.439 0.747 0.217
Zn5 0.597 0.247 0.717
Zn6 0.988 0.955 0.834
Pu1 0.481 0.998 0.503
Pu2 0.018 0.498 0.003

Results
The calculation puts the total magnetization at 0.385 μB per atom. The mass density is 4.45 Mg/m³. The total energy is -3.143 eV/atom. The space group is Cc.

=====

no.,formation energy without anion corrections (eV/atom)
1,-0.853
2,-0.454
3,-0.236
4,-1.196
5,-0.843
6,-0.920
7,-1.121
8,-1.074
9,-1.230
10,-0.243
11,-0.633
12,-0.673